An optimized crystal structure of PrErAl2Pd5. Source: the Alexandria database, functional PBE-GGA.

```
PrErAl2Pd5
1.0
-2.138 -3.444 1.362
2.519 -2.505 -2.381
5.876 -0.839 7.099
Er Pr Pd Al
1 1 5 2
Direct
0.000 0.000 0.000
0.000 0.000 0.500
0.500 0.000 0.269
0.000 0.500 0.269
0.000 0.500 0.731
0.500 0.000 0.731
0.500 0.500 0.500
0.500 0.500 0.861
0.500 0.500 0.139
```

Space-group type ... P4/mmm, No. 123
Calculated formation energy ... -0.78 eV/atom

An optimized crystal structure of PrEr2AlPd4. Source: the Alexandria database, functional PBE-GGA.

```
PrEr2AlPd4
1.0
4.779 0.000 0.000
2.390 4.139 0.000
2.390 1.380 8.325
Er Pd Al Pr
2 4 1 1
Direct
0.242 0.242 0.275
0.758 0.758 0.725
0.604 0.604 0.187
0.396 0.396 0.813
0.130 0.130 0.611
0.870 0.870 0.389
0.500 0.500 0.500
0.000 0.000 0.000
```

Space-group type ... R-3m, No. 166
Calculated formation energy ... -0.83 eV/atom

An optimized crystal structure of Pr2ErAl3Pd4. Source: the Alexandria database, functional PBE-GGA.

```
Pr2ErAl3Pd4
1.0
4.403 0.000 0.000
0.000 4.403 0.000
0.000 0.000 10.850
Al Pr Pd Er
3 2 4 1
Direct
0.000 0.500 0.117
0.500 0.000 0.883
0.000 0.000 0.500
0.000 0.500 0.768
0.500 0.000 0.232
0.000 0.000 0.000
0.500 0.000 0.652
0.500 0.500 0.000
0.000 0.500 0.348
0.500 0.500 0.500
```

Space-group type ... P-4m2, No. 115
Calculated formation energy ... -0.81 eV/atom

An optimized crystal structure of PrErAlPd. Source: the Alexandria database, functional PBE-GGA.

```
PrErAlPd
1.0
5.145 0.000 0.000
2.573 4.456 0.000
2.573 1.485 4.201
Pd Pr Al Er
1 1 1 1
Direct
0.250 0.250 0.250
0.000 0.000 0.000
0.750 0.750 0.750
0.500 0.500 0.500
```

Space-group type ... F-43m, No. 216
Calculated formation energy ... -0.51 eV/atom

Q: Look up the calculated formation energy of the fourth one.
A: -0.51 eV/atom